(1)
Computed, not measured: a geometry-optimized Nd6HgAs3S2 structure at the PBE level of DFT.

Cell: 9.435 9.435 8.532 Å, 102.12 102.12 25.79°
Fractional positions:
Nd 0.004 0.004 0.268
Nd 0.326 0.326 0.907
Nd 0.333 0.333 0.415
Nd 0.667 0.667 0.585
Nd 0.674 0.674 0.093
Nd 0.996 0.996 0.732
Hg 0.500 0.500 0.000
As 0.164 0.164 0.834
As 0.500 0.500 0.500
As 0.836 0.836 0.166
S 0.169 0.169 0.339
S 0.831 0.831 0.661

Summary:
theoretical density = 6.97 Mg/m³
symmetry = C2/m
formation energy without anion corrections = -1.50 eV per atom

=====

(2)
Computed, not measured: a geometry-optimized Nd6HgAs2Se3 structure at the PBE level of DFT.

Cell: 9.578 9.578 8.642 Å, 102.97 102.97 25.67°
Fractional positions:
Nd 0.002 0.002 0.262
Nd 0.330 0.330 0.423
Nd 0.330 0.330 0.907
Nd 0.670 0.670 0.093
Nd 0.670 0.670 0.577
Nd 0.998 0.998 0.738
Hg 0.500 0.500 0.000
As 0.167 0.167 0.334
As 0.833 0.833 0.666
Se 0.167 0.167 0.833
Se 0.500 0.500 0.500
Se 0.833 0.833 0.167

Summary:
theoretical density = 7.22 Mg/m³
symmetry = C2/m
formation energy without anion corrections = -1.51 eV per atom

=====

(3)
Computed, not measured: a geometry-optimized Nd4HgAsSe2 structure at the PBE level of DFT.

Cell: 7.470 4.253 7.481 Å, 90.00 109.02 90.00°
Fractional positions:
Nd 0.238 0.000 0.241
Nd 0.239 0.500 0.748
Nd 0.761 0.500 0.252
Nd 0.762 0.000 0.759
Hg 0.500 0.500 0.500
As 0.000 0.000 0.500
Se 0.000 0.500 0.000
Se 0.500 0.000 0.000

Summary:
theoretical density = 7.47 Mg/m³
symmetry = P2/m
formation energy without anion corrections = -1.40 eV per atom

=====

(4)
Computed, not measured: a geometry-optimized Nd8HgTe4As3 structure at the PBE level of DFT.

Cell: 8.870 8.870 8.870 Å, 59.30 59.30 59.30°
Fractional positions:
Nd 0.236 0.747 0.747
Nd 0.240 0.240 0.240
Nd 0.253 0.253 0.764
Nd 0.253 0.764 0.253
Nd 0.747 0.236 0.747
Nd 0.747 0.747 0.236
Nd 0.760 0.760 0.760
Nd 0.764 0.253 0.253
Hg 0.500 0.500 0.500
Te 0.000 0.000 0.000
Te 0.000 0.500 0.500
Te 0.500 0.000 0.500
Te 0.500 0.500 0.000
As 0.000 0.000 0.500
As 0.000 0.500 0.000
As 0.500 0.000 0.000

Summary:
theoretical density = 7.15 Mg/m³
symmetry = R-3m
formation energy without anion corrections = -1.38 eV per atom

=====

(5)
Computed, not measured: a geometry-optimized Nd4HgTe2As structure at the PBE level of DFT.

Cell: 7.710 4.355 7.751 Å, 90.00 108.66 90.00°
Fractional positions:
Nd 0.229 0.000 0.233
Nd 0.240 0.500 0.755
Nd 0.760 0.500 0.245
Nd 0.771 0.000 0.767
Hg 0.000 0.000 0.500
Te 0.500 0.000 0.000
Te 0.500 0.500 0.500
As 0.000 0.500 0.000

Summary:
theoretical density = 7.46 Mg/m³
symmetry = P2/m
formation energy without anion corrections = -1.21 eV per atom

=====

(6)
Computed, not measured: a geometry-optimized Nd6HgTe3As2 structure at the PBE level of DFT.

Cell: 9.897 9.897 8.967 Å, 103.44 103.44 25.44°
Fractional positions:
Nd 0.007 0.007 0.252
Nd 0.327 0.327 0.432
Nd 0.333 0.333 0.897
Nd 0.667 0.667 0.103
Nd 0.673 0.673 0.568
Nd 0.993 0.993 0.748
Hg 0.500 0.500 0.000
Te 0.166 0.166 0.832
Te 0.500 0.500 0.500
Te 0.834 0.834 0.168
As 0.168 0.168 0.336
As 0.832 0.832 0.664

Summary:
theoretical density = 7.25 Mg/m³
symmetry = C2/m
formation energy without anion corrections = -1.32 eV per atom

=====

(7)
Computed, not measured: a geometry-optimized NiHgAs3 structure at the PBE level of DFT.

Cell: 4.706 4.706 4.706 Å, 90.00 90.00 90.00°
Fractional positions:
Ni 0.000 0.000 0.000
Hg 0.500 0.500 0.500
As 0.000 0.000 0.500
As 0.000 0.500 0.000
As 0.500 0.000 0.000

Summary:
theoretical density = 7.71 Mg/m³
symmetry = Pm-3m
DFT formation energy = 0.42 eV per atom

=====

(8)
Computed, not measured: a geometry-optimized NiHg2As structure at the PBE level of DFT.

Cell: 6.737 6.737 6.737 Å, 90.00 90.00 90.00°
Fractional positions:
Ni 0.000 0.000 0.000
Ni 0.000 0.500 0.500
Ni 0.500 0.000 0.500
Ni 0.500 0.500 0.000
Hg 0.000 0.000 0.500
Hg 0.000 0.500 0.000
Hg 0.250 0.250 0.750
Hg 0.250 0.750 0.250
Hg 0.500 0.000 0.000
Hg 0.500 0.500 0.500
Hg 0.750 0.250 0.250
Hg 0.750 0.750 0.750
As 0.250 0.250 0.250
As 0.250 0.750 0.750
As 0.750 0.250 0.750
As 0.750 0.750 0.250

Summary:
theoretical density = 11.62 Mg/m³
symmetry = F-43m
DFT formation energy = 0.46 eV per atom

=====

(9)
Computed, not measured: a geometry-optimized NiHgAs2 structure at the PBE level of DFT.

Cell: 2.890 2.890 9.686 Å, 90.00 90.00 90.00°
Fractional positions:
Ni 0.000 0.000 0.000
Hg 0.000 0.000 0.500
As 0.500 0.500 0.161
As 0.500 0.500 0.839

Summary:
theoretical density = 8.40 Mg/m³
symmetry = P4/mmm
DFT formation energy = 0.00 eV per atom

=====

(10)
Computed, not measured: a geometry-optimized NiHgAs2 structure at the PBE level of DFT.

Cell: 4.163 4.163 8.323 Å, 90.00 90.00 90.00°
Fractional positions:
Ni 0.000 0.000 0.000
Ni 0.500 0.500 0.500
Hg 0.000 0.500 0.250
Hg 0.500 0.000 0.750
As 0.000 0.000 0.500
As 0.000 0.500 0.750
As 0.500 0.000 0.250
As 0.500 0.500 0.000

Summary:
theoretical density = 9.42 Mg/m³
symmetry = I-4m2
DFT formation energy = 0.42 eV per atom

=====

(11)
Computed, not measured: a geometry-optimized NiHg2As2 structure at the PBE level of DFT.

Cell: 6.084 6.084 5.809 Å, 90.00 90.00 90.00°
Fractional positions:
Ni 0.000 0.000 0.000
Ni 0.500 0.500 0.000
Hg 0.178 0.322 0.500
Hg 0.322 0.822 0.500
Hg 0.678 0.178 0.500
Hg 0.822 0.678 0.500
As 0.147 0.353 0.000
As 0.353 0.853 0.000
As 0.647 0.147 0.000
As 0.853 0.647 0.000

Summary:
theoretical density = 9.42 Mg/m³
symmetry = P4/mbm
DFT formation energy = 0.00 eV per atom

=====

(12)
Computed, not measured: a geometry-optimized NiHgAs2 structure at the PBE level of DFT.

Cell: 3.930 3.930 9.368 Å, 90.00 90.00 90.00°
Fractional positions:
Ni 0.000 0.000 0.000
Ni 0.500 0.500 0.500
Hg 0.000 0.000 0.500
Hg 0.500 0.500 0.000
As 0.000 0.500 0.250
As 0.000 0.500 0.750
As 0.500 0.000 0.250
As 0.500 0.000 0.750

Summary:
theoretical density = 9.39 Mg/m³
symmetry = I4/mmm
DFT formation energy = 0.39 eV per atom

=====

(13)
Computed, not measured: a geometry-optimized NiHg2As structure at the PBE level of DFT.

Cell: 2.904 4.656 12.016 Å, 90.00 90.00 90.00°
Fractional positions:
Ni 0.000 0.000 0.000
Ni 0.500 0.500 0.500
Hg 0.000 0.000 0.479
Hg 0.000 0.500 0.296
Hg 0.500 0.000 0.796
Hg 0.500 0.500 0.979
As 0.000 0.500 0.656
As 0.500 0.000 0.156

Summary:
theoretical density = 10.93 Mg/m³
symmetry = Imm2
DFT formation energy = 0.09 eV per atom

=====

(14)
Computed, not measured: a geometry-optimized NiHgAs2 structure at the PBE level of DFT.

Cell: 7.060 2.992 7.887 Å, 90.00 95.15 90.00°
Fractional positions:
Ni 0.000 0.000 0.000
Ni 0.500 0.500 0.000
Hg 0.000 0.500 0.500
Hg 0.500 0.000 0.500
As 0.186 0.500 0.843
As 0.314 0.000 0.157
As 0.686 0.000 0.843
As 0.814 0.500 0.157

Summary:
theoretical density = 8.19 Mg/m³
symmetry = C2/m
DFT formation energy = -0.07 eV per atom

=====

(15)
Computed, not measured: a geometry-optimized NiHg3As structure at the PBE level of DFT.

Cell: 4.960 4.960 4.960 Å, 90.00 90.00 90.00°
Fractional positions:
Ni 0.000 0.000 0.000
Hg 0.000 0.000 0.500
Hg 0.000 0.500 0.000
Hg 0.500 0.000 0.000
As 0.500 0.500 0.500

Summary:
theoretical density = 10.01 Mg/m³
symmetry = Pm-3m
DFT formation energy = 0.51 eV per atom

=====

(16)
Computed, not measured: a geometry-optimized NiHgAs2 structure at the PBE level of DFT.

Cell: 5.479 7.304 3.649 Å, 90.00 90.00 90.00°
Fractional positions:
Ni 0.000 0.000 0.000
Ni 0.500 0.500 0.000
Hg 0.000 0.500 0.000
Hg 0.500 0.000 0.000
As 0.250 0.250 0.500
As 0.250 0.750 0.500
As 0.750 0.250 0.500
As 0.750 0.750 0.500

Summary:
theoretical density = 9.30 Mg/m³
symmetry = Cmmm
DFT formation energy = 0.39 eV per atom

=====

(17)
Computed, not measured: a geometry-optimized Ni2Hg2As structure at the PBE level of DFT.

Cell: 6.299 6.299 4.247 Å, 90.00 90.00 90.00°
Fractional positions:
Ni 0.153 0.347 0.000
Ni 0.347 0.847 0.000
Ni 0.653 0.153 0.000
Ni 0.847 0.653 0.000
Hg 0.161 0.661 0.500
Hg 0.339 0.161 0.500
Hg 0.661 0.839 0.500
Hg 0.839 0.339 0.500
As 0.000 0.000 0.000
As 0.500 0.500 0.000

Summary:
theoretical density = 11.70 Mg/m³
symmetry = P4/mbm
DFT formation energy = 0.14 eV per atom

=====

(18)
Computed, not measured: a geometry-optimized NiHg2As structure at the PBE level of DFT.

Cell: 2.889 3.085 9.290 Å, 90.00 90.00 90.00°
Fractional positions:
Ni 0.000 0.000 0.000
Hg 0.000 0.000 0.465
Hg 0.500 0.500 0.777
As 0.500 0.500 0.134

Summary:
theoretical density = 10.73 Mg/m³
symmetry = Pmm2
DFT formation energy = 0.05 eV per atom

=====

(19)
Computed, not measured: a geometry-optimized NiHgAs3 structure at the PBE level of DFT.

Cell: 5.143 5.143 5.143 Å, 90.00 90.00 90.00°
Fractional positions:
Ni 0.000 0.000 0.000
Hg 0.500 0.500 0.500
As 0.000 0.500 0.500
As 0.500 0.000 0.500
As 0.500 0.500 0.000

Summary:
theoretical density = 5.91 Mg/m³
symmetry = Pm-3m
DFT formation energy = 1.51 eV per atom

=====

(20)
Computed, not measured: a geometry-optimized NiHg2As structure at the PBE level of DFT.

Cell: 14.374 2.940 3.899 Å, 90.00 101.40 90.00°
Fractional positions:
Ni 0.000 0.000 0.000
Ni 0.500 0.500 0.000
Hg 0.177 0.500 0.188
Hg 0.323 0.000 0.812
Hg 0.677 0.000 0.188
Hg 0.823 0.500 0.812
As 0.000 0.500 0.500
As 0.500 0.000 0.500

Summary:
theoretical density = 11.00 Mg/m³
symmetry = C2/m
DFT formation energy = 0.12 eV per atom

=====

(21)
Computed, not measured: a geometry-optimized NiHgAs4 structure at the PBE level of DFT.

Cell: 5.565 5.565 5.565 Å, 60.00 60.00 60.00°
Fractional positions:
Ni 0.000 0.000 0.000
Hg 0.250 0.250 0.250
As 0.137 0.621 0.621
As 0.621 0.137 0.621
As 0.621 0.621 0.137
As 0.621 0.621 0.621

Summary:
theoretical density = 7.62 Mg/m³
symmetry = F-43m
DFT formation energy = 0.63 eV per atom

=====

(22)
Computed, not measured: a geometry-optimized NiHgAs2 structure at the PBE level of DFT.

Cell: 2.887 4.731 10.818 Å, 90.00 90.00 90.00°
Fractional positions:
Ni 0.000 0.000 0.000
Ni 0.500 0.500 0.500
Hg 0.000 0.000 0.500
Hg 0.500 0.500 0.000
As 0.000 0.500 0.314
As 0.000 0.500 0.686
As 0.500 0.000 0.186
As 0.500 0.000 0.814

Summary:
theoretical density = 9.20 Mg/m³
symmetry = Immm
DFT formation energy = 0.10 eV per atom

=====

(23)
Computed, not measured: a geometry-optimized NiHg2As structure at the PBE level of DFT.

Cell: 5.621 8.336 3.241 Å, 90.00 90.00 90.00°
Fractional positions:
Ni 0.000 0.000 0.000
Ni 0.500 0.500 0.000
Hg 0.250 0.250 0.500
Hg 0.250 0.750 0.500
Hg 0.750 0.250 0.500
Hg 0.750 0.750 0.500
As 0.000 0.500 0.000
As 0.500 0.000 0.000

Summary:
theoretical density = 11.70 Mg/m³
symmetry = Cmmm
DFT formation energy = 0.42 eV per atom

=====

(24)
Computed, not measured: a geometry-optimized NiHg2As structure at the PBE level of DFT.

Cell: 4.151 4.151 8.700 Å, 90.00 90.00 90.00°
Fractional positions:
Ni 0.000 0.000 0.000
Ni 0.500 0.500 0.500
Hg 0.000 0.500 0.250
Hg 0.000 0.500 0.750
Hg 0.500 0.000 0.250
Hg 0.500 0.000 0.750
As 0.000 0.000 0.500
As 0.500 0.500 0.000

Summary:
theoretical density = 11.85 Mg/m³
symmetry = I4/mmm
DFT formation energy = 0.40 eV per atom

=====

(25)
Computed, not measured: a geometry-optimized NiHgAs2 structure at the PBE level of DFT.

Cell: 3.892 3.892 4.808 Å, 90.00 90.00 90.00°
Fractional positions:
Ni 0.000 0.000 0.000
Hg 0.500 0.500 0.000
As 0.000 0.500 0.500
As 0.500 0.000 0.500

Summary:
theoretical density = 9.33 Mg/m³
symmetry = P4/mmm
DFT formation energy = 0.38 eV per atom

=====

(26)
Computed, not measured: a geometry-optimized NiHgAs2 structure at the PBE level of DFT.

Cell: 4.686 3.851 5.014 Å, 90.00 115.94 90.00°
Fractional positions:
Ni 0.000 0.000 0.000
Hg 0.500 0.000 0.500
As 0.190 0.500 0.854
As 0.810 0.500 0.146

Summary:
theoretical density = 8.35 Mg/m³
symmetry = P2/m
DFT formation energy = 0.00 eV per atom

=====

(27)
Computed, not measured: a geometry-optimized NiHg2As structure at the PBE level of DFT.

Cell: 5.734 3.617 8.239 Å, 90.00 90.53 90.00°
Fractional positions:
Ni 0.000 0.000 0.000
Ni 0.500 0.500 0.000
Hg 0.169 0.500 0.233
Hg 0.368 0.000 0.526
Hg 0.669 0.000 0.233
Hg 0.868 0.500 0.526
As 0.345 0.000 0.861
As 0.845 0.500 0.861

Summary:
theoretical density = 10.40 Mg/m³
symmetry = Cm
DFT formation energy = 0.02 eV per atom